# 1
# PaCoSi2Ni2, optimized geometry, DFT PBE-GGA
# * DOS(E_F): 0.788 states/eV per atom
# * raw total energy: -40.562 eV/cell
data_PaCoSi2Ni2
_chemical_formula_sum 'Pa1 Co1 Si2 Ni2'
_cell_length_a 4.333
_cell_length_b 4.333
_cell_length_c 4.888
_cell_angle_alpha 90.00
_cell_angle_beta 90.00
_cell_angle_gamma 90.00
_symmetry_space_group_name_H-M 'P 4/m m m'
_symmetry_Int_Tables_number 123
_symmetry_space_group_name_Hall '-P 4 2'
loop_
_atom_site_label
_atom_site_fract_x
_atom_site_fract_y
_atom_site_fract_z
Pa1 0.000 0.000 0.000
Co1 0.000 0.000 0.500
Si1 0.000 0.500 0.500
Ni1 0.500 0.500 0.243

=====

# 2
# Pa2CoSi4Ni3, optimized geometry, DFT PBE-GGA
# * DOS(E_F): 0.511 states/eV per atom
# * raw total energy: -73.024 eV/cell
data_Pa2CoSi4Ni3
_chemical_formula_sum 'Pa2 Co1 Si4 Ni3'
_cell_length_a 4.005
_cell_length_b 4.005
_cell_length_c 9.287
_cell_angle_alpha 90.00
_cell_angle_beta 90.00
_cell_angle_gamma 90.00
_symmetry_space_group_name_H-M 'P -4 m 2'
_symmetry_Int_Tables_number 115
loop_
_symmetry_equiv_pos_as_xyz
'x,y,z'
'y,-x,-z'
'-x,-y,z'
'-y,x,-z'
'-x,y,z'
'-y,-x,-z'
'x,-y,z'
'y,x,-z'
loop_
_atom_site_label
_atom_site_fract_x
_atom_site_fract_y
_atom_site_fract_z
Pa1 0.000 0.500 0.245
Co1 0.500 0.500 0.000
Si1 0.000 0.000 0.500
Si2 0.000 0.500 0.872
Si3 0.500 0.500 0.500
Ni1 0.000 0.000 0.000
Ni2 0.000 0.500 0.624

=====

# 3
# PaCoSi2Ni, optimized geometry, DFT PBE-GGA
# * DOS(E_F): 0.870 states/eV per atom
# * raw total energy: -73.965 eV/cell
data_PaCoSi2Ni
_chemical_formula_sum 'Pa2 Co2 Si4 Ni2'
_cell_length_a 3.957
_cell_length_b 3.957
_cell_length_c 9.543
_cell_angle_alpha 90.00
_cell_angle_beta 90.00
_cell_angle_gamma 90.00
_symmetry_space_group_name_H-M 'I -4 m 2'
_symmetry_Int_Tables_number 119
_symmetry_space_group_name_Hall 'I -4 -2'
loop_
_atom_site_label
_atom_site_fract_x
_atom_site_fract_y
_atom_site_fract_z
Pa1 0.000 0.000 0.000
Co1 0.000 0.500 0.250
Si1 0.000 0.000 0.375
Ni1 0.000 0.500 0.750

=====

# 4
# ThPaCoNi, optimized geometry, DFT PBE-GGA
# * DFT formation energy: -1.51 eV per formula unit
# * DOS(E_F): 0.772 states/eV per atom
data_ThPaCoNi
_chemical_formula_sum 'Th2 Pa2 Co2 Ni2'
_cell_length_a 3.771
_cell_length_b 3.669
_cell_length_c 11.854
_cell_angle_alpha 90.00
_cell_angle_beta 90.00
_cell_angle_gamma 90.00
_symmetry_space_group_name_H-M 'A m m 2'
_symmetry_Int_Tables_number 38
loop_
_symmetry_equiv_pos_as_xyz
'x,y,z'
'-x,-y,z'
'-x,y,z'
'x,-y,z'
'x,y+1/2,z+1/2'
'-x,-y+1/2,z+1/2'
'-x,y+1/2,z+1/2'
'x,-y+1/2,z+1/2'
loop_
_atom_site_label
_atom_site_fract_x
_atom_site_fract_y
_atom_site_fract_z
Th1 0.000 0.000 0.000
Pa1 0.500 0.000 0.729
Co1 0.000 0.000 0.253
Ni1 0.500 0.000 0.409

=====

# 5
# UPaCoNi, optimized geometry, DFT PBE-GGA
# * DFT formation energy: -0.90 eV per formula unit
# * DOS(E_F): 1.600 states/eV per atom
data_UPaCoNi
_chemical_formula_sum 'U4 Pa4 Co4 Ni4'
_cell_length_a 6.372
_cell_length_b 6.372
_cell_length_c 6.372
_cell_angle_alpha 90.00
_cell_angle_beta 90.00
_cell_angle_gamma 90.00
_symmetry_space_group_name_H-M 'F -4 3 m'
_symmetry_Int_Tables_number 216
_symmetry_space_group_name_Hall 'F -4 2 3'
loop_
_atom_site_label
_atom_site_fract_x
_atom_site_fract_y
_atom_site_fract_z
U1 0.000 0.000 0.000
Pa1 0.250 0.250 0.250
Co1 0.250 0.250 0.750
Ni1 0.000 0.000 0.500

=====

# 6
# Pa2ZnCo2Ni5, optimized geometry, DFT PBE-GGA
# * DFT formation energy: -3.97 eV per formula unit
# * DOS(E_F): 0.241 states/eV per atom
data_Pa2ZnCo2Ni5
_chemical_formula_sum 'Pa4 Zn2 Co4 Ni10'
_cell_length_a 8.493
_cell_length_b 8.493
_cell_length_c 3.896
_cell_angle_alpha 90.00
_cell_angle_beta 90.00
_cell_angle_gamma 90.00
_symmetry_space_group_name_H-M 'P 4/m b m'
_symmetry_Int_Tables_number 127
_symmetry_space_group_name_Hall '-P 4 2ab'
loop_
_atom_site_label
_atom_site_fract_x
_atom_site_fract_y
_atom_site_fract_z
Pa1 0.176 0.324 0.000
Zn1 0.000 0.000 0.000
Co1 0.124 0.624 0.000
Ni1 0.000 0.500 0.500
Ni2 0.069 0.796 0.500

=====

# 7
# CoNi2Pb, optimized geometry, DFT PBE-GGA
# * DFT formation energy: 2.28 eV per formula unit
# * DOS(E_F): 1.648 states/eV per atom
data_CoNi2Pb
_chemical_formula_sum 'Co4 Ni8 Pb4'
_cell_length_a 3.760
_cell_length_b 3.760
_cell_length_c 17.513
_cell_angle_alpha 90.00
_cell_angle_beta 90.00
_cell_angle_gamma 90.00
_symmetry_space_group_name_H-M 'I -4 2 d'
_symmetry_Int_Tables_number 122
_symmetry_space_group_name_Hall 'I -4 2bw'
loop_
_atom_site_label
_atom_site_fract_x
_atom_site_fract_y
_atom_site_fract_z
Co1 0.000 0.000 0.000
Ni1 0.202 0.250 0.125
Pb1 0.000 0.000 0.500

=====

# 8
# CoNiPb2, optimized geometry, DFT PBE-GGA
# * DFT formation energy: 1.85 eV per formula unit
# * DOS(E_F): 0.857 states/eV per atom
data_CoNiPb2
_chemical_formula_sum 'Co1 Ni1 Pb2'
_cell_length_a 3.361
_cell_length_b 3.350
_cell_length_c 6.658
_cell_angle_alpha 90.00
_cell_angle_beta 95.73
_cell_angle_gamma 90.00
_symmetry_space_group_name_H-M 'P 1 2/m 1'
_symmetry_Int_Tables_number 10
loop_
_symmetry_equiv_pos_as_xyz
'x,y,z'
'-x,-y,-z'
'-x,y,-z'
'x,-y,z'
loop_
_atom_site_label
_atom_site_fract_x
_atom_site_fract_y
_atom_site_fract_z
Co1 0.000 0.000 0.000
Ni1 0.000 0.000 0.500
Pb1 0.493 0.500 0.750

=====

# 9
# CoNiPb2, optimized geometry, DFT PBE-GGA
# * DFT formation energy: 1.88 eV per formula unit
# * DOS(E_F): 1.078 states/eV per atom
data_CoNiPb2
_chemical_formula_sum 'Co1 Ni1 Pb2'
_cell_length_a 3.320
_cell_length_b 4.517
_cell_length_c 4.979
_cell_angle_alpha 90.00
_cell_angle_beta 90.00
_cell_angle_gamma 90.00
_symmetry_space_group_name_H-M 'P m m m'
_symmetry_Int_Tables_number 47
loop_
_symmetry_equiv_pos_as_xyz
'x,y,z'
'-x,-y,-z'
'-x,-y,z'
'x,y,-z'
'x,-y,-z'
'-x,y,z'
'-x,y,-z'
'x,-y,z'
loop_
_atom_site_label
_atom_site_fract_x
_atom_site_fract_y
_atom_site_fract_z
Co1 0.000 0.000 0.000
Ni1 0.000 0.500 0.500
Pb1 0.500 0.000 0.500
Pb2 0.500 0.500 0.000

=====

# 10
# CoNiPb2, optimized geometry, DFT PBE-GGA
# * DFT formation energy: 2.01 eV per formula unit
# * DOS(E_F): 1.013 states/eV per atom
data_CoNiPb2
_chemical_formula_sum 'Co2 Ni2 Pb4'
_cell_length_a 7.782
_cell_length_b 3.459
_cell_length_c 5.950
_cell_angle_alpha 90.00
_cell_angle_beta 104.69
_cell_angle_gamma 90.00
_symmetry_space_group_name_H-M 'C 1 2/m 1'
_symmetry_Int_Tables_number 12
loop_
_symmetry_equiv_pos_as_xyz
'x,y,z'
'-x,-y,-z'
'-x,y,-z'
'x,-y,z'
'x+1/2,y+1/2,z'
'-x+1/2,-y+1/2,-z'
'-x+1/2,y+1/2,-z'
'x+1/2,-y+1/2,z'
loop_
_atom_site_label
_atom_site_fract_x
_atom_site_fract_y
_atom_site_fract_z
Co1 0.000 0.000 0.000
Ni1 0.000 0.500 0.500
Pb1 0.249 0.000 0.750

=====

# 11
# CoNi3Pb, optimized geometry, DFT PBE-GGA
# * DFT formation energy: 3.72 eV per formula unit
# * DOS(E_F): 1.076 states/eV per atom
data_CoNi3Pb
_chemical_formula_sum 'Co1 Ni3 Pb1'
_cell_length_a 4.369
_cell_length_b 4.369
_cell_length_c 4.369
_cell_angle_alpha 90.00
_cell_angle_beta 90.00
_cell_angle_gamma 90.00
_symmetry_space_group_name_H-M 'P m -3 m'
_symmetry_Int_Tables_number 221
_symmetry_space_group_name_Hall '-P 4 2 3'
loop_
_atom_site_label
_atom_site_fract_x
_atom_site_fract_y
_atom_site_fract_z
Co1 0.000 0.000 0.000
Ni1 0.000 0.000 0.500
Pb1 0.500 0.500 0.500

=====

# 12
# CoNi2Pb, optimized geometry, DFT PBE-GGA
# * DFT formation energy: 1.46 eV per formula unit
# * DOS(E_F): 1.535 states/eV per atom
data_CoNi2Pb
_chemical_formula_sum 'Co1 Ni2 Pb1'
_cell_length_a 3.178
_cell_length_b 3.178
_cell_length_c 5.726
_cell_angle_alpha 90.00
_cell_angle_beta 90.00
_cell_angle_gamma 90.00
_symmetry_space_group_name_H-M 'P 4 m m'
_symmetry_Int_Tables_number 99
loop_
_symmetry_equiv_pos_as_xyz
'x,y,z'
'-y,x,z'
'-x,-y,z'
'y,-x,z'
'-x,y,z'
'y,x,z'
'x,-y,z'
'-y,-x,z'
loop_
_atom_site_label
_atom_site_fract_x
_atom_site_fract_y
_atom_site_fract_z
Co1 0.000 0.000 0.000
Ni1 0.000 0.000 0.417
Ni2 0.500 0.500 0.197
Pb1 0.500 0.500 0.698

=====

# 13
# CoNi2Pb, optimized geometry, DFT PBE-GGA
# * DFT formation energy: 1.15 eV per formula unit
# * DOS(E_F): 1.557 states/eV per atom
data_CoNi2Pb
_chemical_formula_sum 'Co2 Ni4 Pb2'
_cell_length_a 3.886
_cell_length_b 3.886
_cell_length_c 7.300
_cell_angle_alpha 90.00
_cell_angle_beta 90.00
_cell_angle_gamma 90.00
_symmetry_space_group_name_H-M 'I -4 m 2'
_symmetry_Int_Tables_number 119
_symmetry_space_group_name_Hall 'I -4 -2'
loop_
_atom_site_label
_atom_site_fract_x
_atom_site_fract_y
_atom_site_fract_z
Co1 0.000 0.000 0.000
Ni1 0.000 0.000 0.500
Ni2 0.000 0.500 0.250
Pb1 0.000 0.500 0.750

=====

# 14
# CoNi2Pb, optimized geometry, DFT PBE-GGA
# * DFT formation energy: 1.10 eV per formula unit
# * DOS(E_F): 1.191 states/eV per atom
data_CoNi2Pb
_chemical_formula_sum 'Co1 Ni2 Pb1'
_cell_length_a 3.786
_cell_length_b 3.786
_cell_length_c 3.844
_cell_angle_alpha 90.00
_cell_angle_beta 90.00
_cell_angle_gamma 90.00
_symmetry_space_group_name_H-M 'P 4/m m m'
_symmetry_Int_Tables_number 123
_symmetry_space_group_name_Hall '-P 4 2'
loop_
_atom_site_label
_atom_site_fract_x
_atom_site_fract_y
_atom_site_fract_z
Co1 0.000 0.000 0.000
Ni1 0.000 0.500 0.500
Pb1 0.500 0.500 0.000

=====

# 15
# CoNi2Pb, optimized geometry, DFT PBE-GGA
# * DFT formation energy: 1.27 eV per formula unit
# * DOS(E_F): 1.826 states/eV per atom
data_CoNi2Pb
_chemical_formula_sum 'Co4 Ni8 Pb4'
_cell_length_a 6.047
_cell_length_b 6.047
_cell_length_c 6.047
_cell_angle_alpha 90.00
_cell_angle_beta 90.00
_cell_angle_gamma 90.00
_symmetry_space_group_name_H-M 'F -4 3 m'
_symmetry_Int_Tables_number 216
_symmetry_space_group_name_Hall 'F -4 2 3'
loop_
_atom_site_label
_atom_site_fract_x
_atom_site_fract_y
_atom_site_fract_z
Co1 0.000 0.000 0.000
Ni1 0.000 0.000 0.500
Ni2 0.250 0.250 0.750
Pb1 0.250 0.250 0.250

=====

# 16
# CoNiPb2, optimized geometry, DFT PBE-GGA
# * DFT formation energy: 3.13 eV per formula unit
# * DOS(E_F): 1.945 states/eV per atom
data_CoNiPb2
_chemical_formula_sum 'Co4 Ni4 Pb8'
_cell_length_a 6.850
_cell_length_b 6.850
_cell_length_c 6.850
_cell_angle_alpha 90.00
_cell_angle_beta 90.00
_cell_angle_gamma 90.00
_symmetry_space_group_name_H-M 'F -4 3 m'
_symmetry_Int_Tables_number 216
_symmetry_space_group_name_Hall 'F -4 2 3'
loop_
_atom_site_label
_atom_site_fract_x
_atom_site_fract_y
_atom_site_fract_z
Co1 0.000 0.000 0.000
Ni1 0.250 0.250 0.250
Pb1 0.000 0.000 0.500
Pb2 0.250 0.250 0.750

=====

# 17
# CoNi2Pb, optimized geometry, DFT PBE-GGA
# * DFT formation energy: 1.19 eV per formula unit
# * DOS(E_F): 1.506 states/eV per atom
data_CoNi2Pb
_chemical_formula_sum 'Co2 Ni4 Pb2'
_cell_length_a 3.888
_cell_length_b 3.888
_cell_length_c 7.355
_cell_angle_alpha 90.00
_cell_angle_beta 90.00
_cell_angle_gamma 90.00
_symmetry_space_group_name_H-M 'I 4/m m m'
_symmetry_Int_Tables_number 139
_symmetry_space_group_name_Hall '-I 4 2'
loop_
_atom_site_label
_atom_site_fract_x
_atom_site_fract_y
_atom_site_fract_z
Co1 0.000 0.000 0.000
Ni1 0.000 0.500 0.250
Pb1 0.000 0.000 0.500

=====

# 18
# CoNiPb2, optimized geometry, DFT PBE-GGA
# * DFT formation energy: 2.59 eV per formula unit
# * DOS(E_F): 0.937 states/eV per atom
data_CoNiPb2
_chemical_formula_sum 'Co4 Ni4 Pb8'
_cell_length_a 7.140
_cell_length_b 7.140
_cell_length_c 6.463
_cell_angle_alpha 90.00
_cell_angle_beta 90.00
_cell_angle_gamma 90.00
_symmetry_space_group_name_H-M 'I -4 2 d'
_symmetry_Int_Tables_number 122
_symmetry_space_group_name_Hall 'I -4 2bw'
loop_
_atom_site_label
_atom_site_fract_x
_atom_site_fract_y
_atom_site_fract_z
Co1 0.000 0.000 0.000
Ni1 0.000 0.000 0.500
Pb1 0.248 0.250 0.625

=====

# 19
# CoNiPb2, optimized geometry, DFT PBE-GGA
# * DFT formation energy: 1.69 eV per formula unit
# * DOS(E_F): 0.833 states/eV per atom
data_CoNiPb2
_chemical_formula_sum 'Co1 Ni1 Pb2'
_cell_length_a 3.577
_cell_length_b 3.852
_cell_length_c 5.471
_cell_angle_alpha 90.00
_cell_angle_beta 90.00
_cell_angle_gamma 90.00
_symmetry_space_group_name_H-M 'P m m 2'
_symmetry_Int_Tables_number 25
loop_
_symmetry_equiv_pos_as_xyz
'x,y,z'
'-x,-y,z'
'-x,y,z'
'x,-y,z'
loop_
_atom_site_label
_atom_site_fract_x
_atom_site_fract_y
_atom_site_fract_z
Co1 0.000 0.000 0.000
Ni1 0.500 0.500 0.332
Pb1 0.000 0.000 0.478
Pb2 0.500 0.500 0.855

=====

# 20
# CoNiPb2, optimized geometry, DFT PBE-GGA
# * DFT formation energy: 1.98 eV per formula unit
# * DOS(E_F): 1.069 states/eV per atom
data_CoNiPb2
_chemical_formula_sum 'Co3 Ni3 Pb6'
_cell_length_a 3.3750
_cell_length_b 3.3750
_cell_length_c 23.5039
_cell_angle_alpha 90.00
_cell_angle_beta 90.00
_cell_angle_gamma 120.00
_symmetry_space_group_name_H-M 'R -3 m'
_symmetry_Int_Tables_number 166
_symmetry_space_group_name_Hall '-R 3 2"'
loop_
_atom_site_label
_atom_site_fract_x
_atom_site_fract_y
_atom_site_fract_z
Co1 0.0000 0.0000 0.0000
Ni1 0.0000 0.0000 0.5000
Pb1 0.0000 0.0000 0.2497